First-principles (PBE-GGA) data for crystalline NiTeSe at its relaxed geometry, as listed in Alexandria via LeMat-Bulk.

abc: 8.1276 10.1500 10.1500
angles: 162.96 163.83 25.10
Last column: nearest neighbours and their distance in Å.
Positions (direct):
Ni 0.0430 0.9727 0.0703  4 Se 2.47-2.48, 2 Te 2.68
Se 0.1887 0.3933 0.7954  4 Ni 2.47-2.48
Te 0.7683 0.6340 0.1343  2 Ni 2.68

Output
- total magnetic moment (μB/f.u.) = 0.0
- DOS at the Fermi energy (states/eV/f.u.) = 2.39
- E above lowest polymorph (meV per atom) = 216.1
- formation energy from raw total energies (eV/atom) = -0.0254